# 1
CrAg2BC: relaxed, GGA-PBE.

The structure belongs to space group P4/mmm (No. 123); the cell edges are 4.2774, 4.2774 and 3.9126 Å and the angles 90.00°, 90.00° and 90.00°. The asymmetric unit holds Cr at (0.0000, 0.0000, 0.0000), Ag at (0.0000, 0.5000, 0.5000), B at (0.5000, 0.5000, 0.0000) and C at (0.0000, 0.0000, 0.5000).

Its energy relative to the elements is 1.29 eV/atom. The density of states at the Fermi level comes out at 3.90 states/eV/cell. As for the energy: -24.8 eV per cell. As for the crystal system: tetragonal. For the excess energy over the best structure of this formula in the dataset, the calculation gives 0.0 kJ per mole of atoms.

---

# 2
MnAgB2C: relaxed, GGA-PBE.

The structure belongs to space group P4/mmm (No. 123); the cell edges are 3.8761, 3.8761 and 5.2027 Å and the angles 90.00°, 90.00° and 90.00°. The asymmetric unit holds Mn at (0.0000, 0.0000, 0.0000), Ag at (0.0000, 0.0000, 0.5000), B at (0.0000, 0.5000, 0.5000) and C at (0.5000, 0.5000, 0.0000).

Its energy relative to the elements is 2.98 eV/atom. The density of states at the Fermi level comes out at 6.35 states/eV/cell. As for the energy: -19.7 eV per cell. As for the crystal system: tetragonal.

---

# 3
AgBMoC2: relaxed, GGA-PBE.

The structure belongs to space group P4/mmm (No. 123); the cell edges are 3.6968, 3.6968 and 4.1490 Å and the angles 90.00°, 90.00° and 90.00°. The asymmetric unit holds Ag at (0.0000, 0.0000, 0.0000), B at (0.5000, 0.5000, 0.5000), Mo at (0.5000, 0.5000, 0.0000) and C at (0.0000, 0.5000, 0.5000).

Its energy relative to the elements is 2.13 eV/atom. The density of states at the Fermi level comes out at 3.18 states/eV/cell. As for the energy: -28.1 eV per cell. As for the crystal system: tetragonal.